## VCuBi (PBE)

Data for a geometry-optimized VCuBi structure.

a = 4.5571 Å, b = 3.2436 Å, c = 11.0878 Å
α = 90.67°, β = 90.00°, γ = 134.63°
Atoms (fractional coordinates):
V1 0.2520 0.5041 0.0535
V2 0.7480 0.4959 0.9465
Bi1 0.2655 0.5310 0.3405
Bi2 0.7345 0.4690 0.6595
Cu1 0.2432 0.4864 0.8193
Cu2 0.7568 0.5136 0.1807

- V (A^3/atom) = 19.44
- space-group type = C2/m, No. 12
- final energy (hartree per atom) = -0.2028
- M_tot (Bohr magnetons per cell) = 0.00